Entry 1:
Compound: CdBi2H2Pd7
Source: Alexandria via LeMat-Bulk
Functional: GGA-PBE
Structure: relaxed

**DFT total energy**: -109.7 eV/cell

```
data_CdBi2H2Pd7
_cell_length_a 5.7790
_cell_length_b 5.7752
_cell_length_c 11.6092
_cell_angle_alpha 90.00
_cell_angle_beta 104.14
_cell_angle_gamma 90.00
_symmetry_space_group_name_H-M 'C 1 2/m 1'
_symmetry_Int_Tables_number 12
loop_
_symmetry_equiv_pos_as_xyz
'x,y,z'
'-x,-y,-z'
'-x,y,-z'
'x,-y,z'
'x+1/2,y+1/2,z'
'-x+1/2,-y+1/2,-z'
'-x+1/2,y+1/2,-z'
'x+1/2,-y+1/2,z'
loop_
_atom_site_label
_atom_site_fract_x
_atom_site_fract_y
_atom_site_fract_z
Cd1 0.0000 0.0000 0.0000
Bi1 0.1909 0.0000 0.3849
H1 0.0843 0.5000 0.1676
Pd1 0.0000 0.5000 0.0000
Pd2 0.1598 0.2499 0.8172
Pd3 0.1785 0.5000 0.3609
```



Entry 2:
Compound: TaRh3S
Source: Alexandria via LeMat-Bulk
Functional: GGA-PBE
Structure: relaxed

**DFT total energy**: -36.3 eV/cell
**Energy relative to the lowest polymorph listed for this composition**: 0 meV per atom

```
data_TaRh3S
_cell_length_a 4.3668
_cell_length_b 4.3668
_cell_length_c 4.3668
_cell_angle_alpha 90.00
_cell_angle_beta 90.00
_cell_angle_gamma 90.00
_symmetry_space_group_name_H-M 'P m -3 m'
_symmetry_Int_Tables_number 221
_symmetry_space_group_name_Hall '-P 4 2 3'
loop_
_atom_site_label
_atom_site_fract_x
_atom_site_fract_y
_atom_site_fract_z
Ta1 0.0000 0.0000 0.0000
Rh1 0.0000 0.5000 0.5000
S1 0.5000 0.5000 0.5000
```



Entry 3:
Compound: K5Sn
Source: Alexandria via LeMat-Bulk
Functional: GGA-PBE
Structure: relaxed

**Energy relative to the elements**: -1.0 kJ/mol of atoms
**DFT total energy**: -19.1 eV/cell

```
data_K5Sn
_cell_length_a 6.1527
_cell_length_b 16.3210
_cell_length_c 6.2437
_cell_angle_alpha 90.00
_cell_angle_beta 90.00
_cell_angle_gamma 90.00
_symmetry_space_group_name_H-M 'C m m m'
_symmetry_Int_Tables_number 65
_symmetry_space_group_name_Hall '-C 2 2'
loop_
_atom_site_label
_atom_site_fract_x
_atom_site_fract_y
_atom_site_fract_z
K1 0.0000 0.0000 0.0000
K2 0.0000 0.1408 0.5000
K3 0.0000 0.3603 0.0000
Sn1 0.0000 0.5000 0.5000
```



Entry 4:
Compound: K2U3S6
Source: Alexandria via LeMat-Bulk
Functional: GGA-PBE
Structure: relaxed

**DFT total energy**: -153.1 eV/cell

```
data_K2U3S6
_cell_length_a 6.9354
_cell_length_b 12.0074
_cell_length_c 7.9182
_cell_angle_alpha 90.00
_cell_angle_beta 106.90
_cell_angle_gamma 90.00
_symmetry_space_group_name_H-M 'C 1 2/m 1'
_symmetry_Int_Tables_number 12
loop_
_symmetry_equiv_pos_as_xyz
'x,y,z'
'-x,-y,-z'
'-x,y,-z'
'x,-y,z'
'x+1/2,y+1/2,z'
'-x+1/2,-y+1/2,-z'
'-x+1/2,y+1/2,-z'
'x+1/2,-y+1/2,z'
loop_
_atom_site_label
_atom_site_fract_x
_atom_site_fract_y
_atom_site_fract_z
K1 0.0000 0.1670 0.0000
U1 0.0000 0.0000 0.5000
U2 0.0000 0.3347 0.5000
S1 0.2308 0.1678 0.6963
S2 0.2346 0.5000 0.6980
```



Question: Which formula does entry 4 have?
Answer: K2U3S6